# 1
Entry from OQMD: a relaxed LiOsAuS3 crystal (PBE).

calculated density = 7.81 Mg/m³
crystal system = orthorhombic
magnetization = 0.01 μB/cell
energy = -0.3689 Ry per atom

a = 7.284 Å, b = 7.284 Å, c = 9.441 Å
α = 90.00°, β = 90.00°, γ = 155.40°
Atoms (fractional coordinates):
Li 0.183 0.817 0.750
Li 0.817 0.183 0.250
Os 0.500 0.500 0.000
Os 0.500 0.500 0.500
Au 0.161 0.839 0.250
Au 0.839 0.161 0.750
S 0.129 0.871 0.010
S 0.129 0.871 0.490
S 0.455 0.545 0.250
S 0.545 0.455 0.750
S 0.871 0.129 0.510
S 0.871 0.129 0.990

# 2
Entry from OQMD: a relaxed YTlPdS3 crystal (PBE).

calculated density = 5.70 Mg/m³
crystal system = orthorhombic
magnetization = 0.05 μB/cell
offset from the most stable computed form = 12 meV per atom
energy = -0.3919 Ry per atom

a = 7.451 Å, b = 7.451 Å, c = 10.313 Å
α = 90.00°, β = 90.00°, γ = 149.68°
Atoms (fractional coordinates):
Y 0.000 0.000 0.000
Y 0.000 0.000 0.500
Tl 0.247 0.753 0.750
Tl 0.753 0.247 0.250
Pd 0.479 0.521 0.250
Pd 0.521 0.479 0.750
S 0.075 0.925 0.250
S 0.373 0.627 0.066
S 0.373 0.627 0.434
S 0.627 0.373 0.566
S 0.627 0.373 0.934
S 0.925 0.075 0.750

# 3
Entry from OQMD: a relaxed TaCoSiPd crystal (PBE).

calculated density = 11.04 Mg/m³
crystal system = cubic
magnetization = 0.47 μB/cell
offset from the most stable computed form = 0 meV per atom
energy = -0.5585 Ry per atom

a = 6.085 Å, b = 6.085 Å, c = 6.085 Å
α = 90.00°, β = 90.00°, γ = 90.00°
Atoms (fractional coordinates):
Ta 0.000 0.000 0.000
Ta 0.000 0.500 0.500
Ta 0.500 0.000 0.500
Ta 0.500 0.500 0.000
Co 0.250 0.250 0.750
Co 0.250 0.750 0.250
Co 0.750 0.250 0.250
Co 0.750 0.750 0.750
Si 0.000 0.000 0.500
Si 0.000 0.500 0.000
Si 0.500 0.000 0.000
Si 0.500 0.500 0.500
Pd 0.250 0.250 0.250
Pd 0.250 0.750 0.750
Pd 0.750 0.250 0.750
Pd 0.750 0.750 0.250

# 4
Entry from OQMD: a relaxed TlZnPb2 crystal (PBE).

calculated density = 9.87 Mg/m³
crystal system = cubic
energy = -0.1941 Ry per atom

a = 7.721 Å, b = 7.721 Å, c = 7.721 Å
α = 90.00°, β = 90.00°, γ = 90.00°
Atoms (fractional coordinates):
Tl 0.000 0.000 0.000
Tl 0.000 0.500 0.500
Tl 0.500 0.000 0.500
Tl 0.500 0.500 0.000
Zn 0.250 0.250 0.250
Zn 0.250 0.750 0.750
Zn 0.750 0.250 0.750
Zn 0.750 0.750 0.250
Pb 0.000 0.000 0.500
Pb 0.000 0.500 0.000
Pb 0.250 0.250 0.750
Pb 0.250 0.750 0.250
Pb 0.500 0.000 0.000
Pb 0.500 0.500 0.500
Pb 0.750 0.250 0.250
Pb 0.750 0.750 0.750

# 5
Entry from OQMD: a relaxed RbPrPtSe3 crystal (PBE).

calculated density = 5.94 Mg/m³
crystal system = orthorhombic
magnetization = 0.00 μB/cell
energy = -0.3542 Ry per atom

a = 8.574 Å, b = 8.574 Å, c = 10.539 Å
α = 90.00°, β = 90.00°, γ = 151.63°
Atoms (fractional coordinates):
Rb 0.249 0.751 0.750
Rb 0.751 0.249 0.250
Pr 0.000 0.000 0.000
Pr 0.000 0.000 0.500
Pt 0.495 0.505 0.250
Pt 0.505 0.495 0.750
Se 0.086 0.914 0.250
Se 0.385 0.615 0.088
Se 0.385 0.615 0.412
Se 0.615 0.385 0.588
Se 0.615 0.385 0.912
Se 0.914 0.086 0.750

# 6
Entry from OQMD: a relaxed ZrInFeRe crystal (PBE).

calculated density = 10.88 Mg/m³
crystal system = cubic
magnetization = 8.32 μB/cell
offset from the most stable computed form = 0 meV per atom
energy = -0.5740 Ry per atom

a = 6.493 Å, b = 6.493 Å, c = 6.493 Å
α = 90.00°, β = 90.00°, γ = 90.00°
Atoms (fractional coordinates):
Zr 0.000 0.000 0.000
Zr 0.000 0.500 0.500
Zr 0.500 0.000 0.500
Zr 0.500 0.500 0.000
In 0.000 0.000 0.500
In 0.000 0.500 0.000
In 0.500 0.000 0.000
In 0.500 0.500 0.500
Fe 0.250 0.250 0.750
Fe 0.250 0.750 0.250
Fe 0.750 0.250 0.250
Fe 0.750 0.750 0.750
Re 0.250 0.250 0.250
Re 0.250 0.750 0.750
Re 0.750 0.250 0.750
Re 0.750 0.750 0.250

# 7
Entry from OQMD: a relaxed NdPaAs crystal (PBE).

calculated density = 9.24 Mg/m³
crystal system = cubic
magnetization = 0.85 μB/cell
offset from the most stable computed form = 1289 meV per atom
energy = -0.4280 Ry per atom

a = 6.866 Å, b = 6.866 Å, c = 6.866 Å
α = 90.00°, β = 90.00°, γ = 90.00°
Atoms (fractional coordinates):
Nd 0.000 0.000 0.000
Nd 0.000 0.500 0.500
Nd 0.500 0.000 0.500
Nd 0.500 0.500 0.000
Pa 0.250 0.250 0.250
Pa 0.250 0.750 0.750
Pa 0.750 0.250 0.750
Pa 0.750 0.750 0.250
As 0.250 0.250 0.750
As 0.250 0.750 0.250
As 0.750 0.250 0.250
As 0.750 0.750 0.750

# 8
Entry from OQMD: a relaxed Be2Al5Pd crystal (PBE).

calculated density = 3.24 Mg/m³
crystal system = orthorhombic
energy = -0.2791 Ry per atom

a = 4.455 Å, b = 5.290 Å, c = 11.262 Å
α = 90.00°, β = 90.00°, γ = 90.00°
Atoms (fractional coordinates):
Be 0.000 0.000 0.000
Be 0.000 0.000 0.197
Be 0.500 0.500 0.500
Be 0.500 0.500 0.697
Al 0.000 0.000 0.410
Al 0.000 0.251 0.819
Al 0.000 0.500 0.046
Al 0.000 0.500 0.585
Al 0.000 0.749 0.819
Al 0.500 0.000 0.085
Al 0.500 0.000 0.546
Al 0.500 0.249 0.319
Al 0.500 0.500 0.910
Al 0.500 0.751 0.319
Pd 0.000 0.000 0.635
Pd 0.500 0.500 0.135

# 9
Entry from OQMD: a relaxed ScUTc crystal (PBE).

calculated density = 10.07 Mg/m³
energy relative to the elements = 868 meV/atom
crystal system = cubic
magnetization = 6.41 μB/cell
energy = -0.6218 Ry per atom

a = 6.310 Å, b = 6.310 Å, c = 6.310 Å
α = 90.00°, β = 90.00°, γ = 90.00°
Atoms (fractional coordinates):
Sc 0.000 0.000 0.000
Sc 0.000 0.500 0.500
Sc 0.500 0.000 0.500
Sc 0.500 0.500 0.000
U 0.250 0.250 0.250
U 0.250 0.750 0.750
U 0.750 0.250 0.750
U 0.750 0.750 0.250
Tc 0.250 0.250 0.750
Tc 0.250 0.750 0.250
Tc 0.750 0.250 0.250
Tc 0.750 0.750 0.750

# 10
Entry from OQMD: a relaxed Zr2CdB2 crystal (PBE).

calculated density = 7.01 Mg/m³
crystal system = orthorhombic
magnetization = 0.01 μB/cell
energy = -0.5073 Ry per atom

a = 3.187 Å, b = 13.533 Å, c = 3.474 Å
α = 90.00°, β = 90.00°, γ = 90.00°
Atoms (fractional coordinates):
Zr 0.000 0.148 0.000
Zr 0.000 0.852 0.000
Zr 0.500 0.352 0.000
Zr 0.500 0.648 0.000
Cd 0.000 0.500 0.500
Cd 0.500 0.000 0.500
B 0.000 0.278 0.500
B 0.000 0.722 0.500
B 0.500 0.222 0.500
B 0.500 0.778 0.500

# 11
Entry from OQMD: a relaxed NbTlNO crystal (PBE).

calculated density = 7.05 Mg/m³
crystal system = tetragonal
magnetization = 0.00 μB/cell
offset from the most stable computed form = 195 meV per atom
energy = -0.5287 Ry per atom

a = 4.237 Å, b = 4.237 Å, c = 8.593 Å
α = 90.00°, β = 90.00°, γ = 90.00°
Atoms (fractional coordinates):
Nb 0.250 0.250 0.058
Nb 0.750 0.750 0.942
Tl 0.250 0.750 0.500
Tl 0.750 0.250 0.500
N 0.250 0.250 0.261
N 0.750 0.750 0.739
O 0.250 0.750 0.000
O 0.750 0.250 0.000

# 12
Entry from OQMD: a relaxed TlCuReAu crystal (PBE).

calculated density = 15.53 Mg/m³
crystal system = cubic
magnetization = 6.61 μB/cell
offset from the most stable computed form = 0 meV per atom
energy = -0.3393 Ry per atom

a = 6.531 Å, b = 6.531 Å, c = 6.531 Å
α = 90.00°, β = 90.00°, γ = 90.00°
Atoms (fractional coordinates):
Tl 0.000 0.000 0.000
Tl 0.000 0.500 0.500
Tl 0.500 0.000 0.500
Tl 0.500 0.500 0.000
Cu 0.250 0.250 0.250
Cu 0.250 0.750 0.750
Cu 0.750 0.250 0.750
Cu 0.750 0.750 0.250
Re 0.250 0.250 0.750
Re 0.250 0.750 0.250
Re 0.750 0.250 0.250
Re 0.750 0.750 0.750
Au 0.000 0.000 0.500
Au 0.000 0.500 0.000
Au 0.500 0.000 0.000
Au 0.500 0.500 0.500